Entry 1:
The following is a DFT calculation (PBE-GGA) of YTlZnAg after structural relaxation.

Calculated values
SG   F-43m, No. 216
Formation enthalpy at 0 K   -202 meV/atom

a = 4.9798 Å, b = 4.9798 Å, c = 4.9798 Å
α = 60.00°, β = 60.00°, γ = 60.00°
Sites, in units of the cell vectors:
Zn 0.2500 0.2500 0.2500
Y 0.5000 0.5000 0.5000
Ag 0.7500 0.7500 0.7500
Tl 0.0000 0.0000 0.0000

=====

Entry 2:
The following is a DFT calculation (PBE-GGA) of BaPr2 after structural relaxation.

Calculated values
SG   Fd-3m, No. 227
Offset from the most stable computed form   0.133 eV/atom
Formation enthalpy at 0 K   243 meV/atom

a = 7.2429 Å, b = 7.2429 Å, c = 7.2429 Å
α = 60.00°, β = 60.00°, γ = 60.00°
Sites, in units of the cell vectors:
Ba 0.2500 0.2500 0.2500
Ba 0.0000 0.0000 0.0000
Pr 0.1250 0.6250 0.6250
Pr 0.6250 0.6250 0.6250
Pr 0.6250 0.6250 0.1250
Pr 0.6250 0.1250 0.6250

=====

Entry 3:
The following is a DFT calculation (PBE-GGA) of PmEr3Al after structural relaxation.

Calculated values
SG   C2/m, No. 12
Offset from the most stable computed form   0.000 eV/atom
Formation enthalpy at 0 K   -140 meV/atom

a = 3.5862 Å, b = 6.6974 Å, c = 12.4340 Å
α = 85.50°, β = 90.00°, γ = 74.48°
Sites, in units of the cell vectors:
Er 0.6344 0.7306 0.9828
Er 0.3656 0.2694 0.0172
Er 0.1411 0.7177 0.4514
Er 0.0309 0.9376 0.1946
Er 0.9691 0.0624 0.8054
Er 0.8589 0.2823 0.5486
Pm 0.2252 0.5493 0.7474
Pm 0.7748 0.4507 0.2526
Al 0.5469 0.9063 0.6192
Al 0.4531 0.0937 0.3808

=====

Entry 4:
The following is a DFT calculation (PBE-GGA) of BaTlTeSe after structural relaxation.

Calculated values
SG   F-43m, No. 216
ΔE_f (raw)   -0.88 eV/atom

a = 5.7460 Å, b = 5.7460 Å, c = 5.7460 Å
α = 60.00°, β = 60.00°, γ = 60.00°
Sites, in units of the cell vectors:
Ba 0.5000 0.5000 0.5000
Te 0.7500 0.7500 0.7500
Se 0.2500 0.2500 0.2500
Tl 0.0000 0.0000 0.0000

=====

Entry 5:
The following is a DFT calculation (PBE-GGA) of CeNd6YEr2 after structural relaxation.

Calculated values
SG   C2/m, No. 12
Formation enthalpy at 0 K   238 meV/atom

a = 8.8681 Å, b = 7.0947 Å, c = 6.6500 Å
α = 122.24°, β = 100.85°, γ = 90.00°
Sites, in units of the cell vectors:
Nd 0.4188 0.6272 0.2543
Nd 0.7981 0.4044 0.3442
Nd 0.2019 0.0602 0.6558
Nd 0.7981 0.9398 0.3442
Nd 0.2019 0.5956 0.6558
Nd 0.5812 0.3728 0.7457
Y 0.5000 0.0000 0.0000
Er 0.8386 0.9086 0.8172
Er 0.1614 0.0914 0.1828
Ce 0.0000 0.5000 0.0000

=====

Entry 6:
The following is a DFT calculation (PBE-GGA) of V3GaRu after structural relaxation.

Calculated values
SG   Pm-3m, No. 221
Offset from the most stable computed form   0.700 eV/atom
Formation enthalpy at 0 K   929 meV/atom

a = 4.5267 Å, b = 4.5267 Å, c = 4.5267 Å
α = 90.00°, β = 90.00°, γ = 90.00°
Sites, in units of the cell vectors:
Ru 0.0000 0.0000 0.0000
V 0.0000 0.5000 0.0000
V 0.5000 0.0000 0.0000
V 0.0000 0.0000 0.5000
Ga 0.5000 0.5000 0.5000

=====

Entry 7:
The following is a DFT calculation (PBE-GGA) of HfUCuO6 after structural relaxation.

Calculated values
SG   P-31c, No. 163
ΔE_f (raw)   -2.45 eV/atom

a = 5.5375 Å, b = 5.5375 Å, c = 8.8252 Å
α = 90.00°, β = 90.00°, γ = 120.00°
Sites, in units of the cell vectors:
U 0.6667 0.3333 0.2500
U 0.3333 0.6667 0.7500
Cu 0.0000 0.0000 0.5000
Cu 0.0000 0.0000 0.0000
Hf 0.3333 0.6667 0.2500
Hf 0.6667 0.3333 0.7500
O 0.9997 0.3449 0.6318
O 0.9997 0.6548 0.8682
O 0.6548 0.9997 0.3682
O 0.3452 0.0003 0.6318
O 0.6548 0.6551 0.1318
O 0.3449 0.9997 0.1318
O 0.0003 0.3452 0.1318
O 0.3452 0.3449 0.8682
O 0.0003 0.6551 0.3682
O 0.6551 0.0003 0.8682
O 0.6551 0.6548 0.6318
O 0.3449 0.3452 0.3682

=====

Entry 8:
The following is a DFT calculation (PBE-GGA) of GeB3H after structural relaxation.

Calculated values
SG   Pm-3m, No. 221
Offset from the most stable computed form   0.000 eV/atom

a = 3.4425 Å, b = 3.4425 Å, c = 3.4425 Å
α = 90.00°, β = 90.00°, γ = 90.00°
Sites, in units of the cell vectors:
B 0.0000 0.0000 0.5000
B 0.5000 0.0000 0.0000
B 0.0000 0.5000 0.0000
Ge 0.5000 0.5000 0.5000
H 0.0000 0.0000 0.0000

=====

Entry 9:
The following is a DFT calculation (PBE-GGA) of Zr2TcO after structural relaxation.

Calculated values
SG   R-3m, No. 166
ΔE_f (raw)   -0.78 eV/atom

a = 2.9964 Å, b = 2.9964 Å, c = 8.4970 Å
α = 79.84°, β = 79.84°, γ = 60.00°
Sites, in units of the cell vectors:
Tc 0.0000 0.0000 0.0000
Zr 0.8962 0.8962 0.3114
Zr 0.1038 0.1038 0.6886
O 0.5000 0.5000 0.5000

=====

Entry 10:
The following is a DFT calculation (PBE-GGA) of Fe2NiPt9 after structural relaxation.

Calculated values
SG   P4/mmm, No. 123
Formation enthalpy at 0 K   -172 meV/atom

a = 3.9072 Å, b = 3.9072 Å, c = 11.7008 Å
α = 90.00°, β = 90.00°, γ = 90.00°
Sites, in units of the cell vectors:
Fe 0.0000 0.0000 0.6711
Fe 0.0000 0.0000 0.3289
Pt 0.5000 0.0000 0.1670
Pt 0.5000 0.0000 0.8330
Pt 0.0000 0.5000 0.1670
Pt 0.5000 0.5000 0.6663
Pt 0.5000 0.5000 0.0000
Pt 0.5000 0.5000 0.3337
Pt 0.5000 0.0000 0.5000
Pt 0.0000 0.5000 0.5000
Pt 0.0000 0.5000 0.8330
Ni 0.0000 0.0000 0.0000

=====

Entry 11:
The following is a DFT calculation (PBE-GGA) of GdPtAu after structural relaxation.

Calculated values
SG   F-43m, No. 216
Offset from the most stable computed form   0.063 eV/atom
Formation enthalpy at 0 K   -829 meV/atom

a = 4.6733 Å, b = 4.6733 Å, c = 4.6733 Å
α = 60.00°, β = 60.00°, γ = 60.00°
Sites, in units of the cell vectors:
Pt 0.2500 0.2500 0.2500
Au 0.0000 0.0000 0.0000
Gd 0.5000 0.5000 0.5000

=====

Entry 12:
The following is a DFT calculation (PBE-GGA) of TbTiPd2 after structural relaxation.

Calculated values
SG   Fm-3m, No. 225
Offset from the most stable computed form   0.076 eV/atom
Formation enthalpy at 0 K   -558 meV/atom

a = 4.7464 Å, b = 4.7464 Å, c = 4.7464 Å
α = 60.00°, β = 60.00°, γ = 60.00°
Sites, in units of the cell vectors:
Ti 0.5000 0.5000 0.5000
Tb 0.0000 0.0000 0.0000
Pd 0.7500 0.7500 0.7500
Pd 0.2500 0.2500 0.2500

=====

no.,density (kg/m3)
1,8873
2,5181
3,7802
4,6787
5,6877
6,5793
7,8163
8,4318
9,7610
10,17906
11,12639
12,9216